A crystal of Si3BPd relaxed with PBEsol. Source: Alexandria, functional meta-GGA SCAN.

Unit cell a=4.5779 b=4.5779 c=4.5779 alpha=90.00 beta=90.00 gamma=90.00
Last column: nearest neighbours and their distance in Å.
Space group Pm-3m (No. 221)
Unique sites:
Si  0.0000  0.0000  0.5000  2 Pd 2.29
B  0.5000  0.5000  0.5000  12 Si 3.24
Pd  0.0000  0.0000  0.0000  6 Si 2.29

## Properties
energy = -12.5290 eV/atom
formation energy (no corrections) = 147 kJ/mol of atoms
Fermi-level density of states = 2.72 states/eV/cell